[1]
Entry from Alexandria: an optimized crystal structure of KSr4Si8H17O29 (GGA-PBE).

The structure in CIF format:
```
data_KSr4Si8H17O29
_symmetry_space_group_name_H-M 'P 4 n c'
_symmetry_Int_Tables_number 104
_cell_length_a 9.229
_cell_length_b 9.229
_cell_length_c 16.503
_cell_angle_alpha 90.00
_cell_angle_beta 90.00
_cell_angle_gamma 90.00
loop_
_symmetry_equiv_pos_as_xyz
'x,y,z'
'-y,x,z'
'-x,-y,z'
'y,-x,z'
'-x+1/2,y+1/2,z+1/2'
'y+1/2,x+1/2,z+1/2'
'x+1/2,-y+1/2,z+1/2'
'-y+1/2,-x+1/2,z+1/2'
loop_
_atom_site_label
_atom_site_type_symbol
_atom_site_fract_x
_atom_site_fract_y
_atom_site_fract_z
K1 K 0.000 0.000 0.000
Sr1 Sr 0.109 0.262 0.501
Si1 Si 0.094 0.779 0.309
Si2 Si 0.094 0.779 0.690
H1 H 0.000 0.000 0.435
H2 H 0.059 0.263 0.149
H3 H 0.059 0.267 0.852
H4 H 0.067 0.681 0.094
H5 H 0.069 0.679 0.906
O1 O 0.000 0.000 0.494
O2 O 0.033 0.276 0.092
O3 O 0.033 0.278 0.909
O4 O 0.076 0.190 0.283
O5 O 0.077 0.190 0.715
O6 O 0.111 0.734 0.596
O7 O 0.111 0.736 0.403
O8 O 0.147 0.648 0.750
```

Values from the calculation:
Its crystal system is tetragonal.

=====

[2]
Entry from Alexandria: an optimized crystal structure of K3TbSi3H2O10 (GGA-PBE).

The structure in CIF format:
```
data_K3TbSi3H2O10
_symmetry_space_group_name_H-M 'P n m a'
_symmetry_Int_Tables_number 62
_cell_length_a 13.324
_cell_length_b 13.797
_cell_length_c 5.959
_cell_angle_alpha 90.00
_cell_angle_beta 90.00
_cell_angle_gamma 90.00
loop_
_symmetry_equiv_pos_as_xyz
'x,y,z'
'-x,-y,-z'
'-x+1/2,-y,z+1/2'
'x+1/2,y,-z+1/2'
'x+1/2,-y+1/2,-z+1/2'
'-x+1/2,y+1/2,z+1/2'
'-x,y+1/2,-z'
'x,-y+1/2,z'
loop_
_atom_site_label
_atom_site_type_symbol
_atom_site_fract_x
_atom_site_fract_y
_atom_site_fract_z
K1 K 0.132 0.250 0.077
K2 K 0.139 0.016 0.413
Tb1 Tb 0.038 0.750 0.412
Si1 Si 0.097 0.604 0.910
Si2 Si 0.250 0.250 0.581
H1 H 0.070 0.060 0.890
O1 O 0.028 0.631 0.128
O2 O 0.043 0.630 0.673
O3 O 0.129 0.014 0.913
O4 O 0.129 0.250 0.569
O5 O 0.202 0.750 0.329
O6 O 0.210 0.654 0.932
```

Values from the calculation:
Its crystal system is orthorhombic.

=====

[3]
Entry from Alexandria: an optimized crystal structure of K2TiSi3H2O10 (GGA-PBE).

The structure in CIF format:
```
data_K2TiSi3H2O10
_symmetry_space_group_name_H-M 'P 21 21 21'
_symmetry_Int_Tables_number 19
_cell_length_a 7.236
_cell_length_b 10.055
_cell_length_c 13.115
_cell_angle_alpha 90.00
_cell_angle_beta 90.00
_cell_angle_gamma 90.00
loop_
_symmetry_equiv_pos_as_xyz
'x,y,z'
'-x+1/2,-y,z+1/2'
'x+1/2,-y+1/2,-z'
'-x,y+1/2,-z+1/2'
loop_
_atom_site_label
_atom_site_type_symbol
_atom_site_fract_x
_atom_site_fract_y
_atom_site_fract_z
K1 K 0.142 0.215 0.370
K2 K 0.209 0.066 0.081
Ti1 Ti 0.241 0.548 0.289
Si1 Si 0.009 0.177 0.825
Si2 Si 0.081 0.858 0.331
Si3 Si 0.232 0.462 0.048
H1 H 0.036 0.154 0.621
H2 H 0.171 0.274 0.597
O1 O 0.013 0.440 0.262
O2 O 0.020 0.400 0.059
O3 O 0.053 0.334 0.808
O4 O 0.071 0.699 0.310
O5 O 0.098 0.613 0.772
O6 O 0.124 0.663 0.573
O7 O 0.129 0.185 0.570
O8 O 0.202 0.095 0.849
O9 O 0.227 0.489 0.433
O10 O 0.245 0.424 0.636
```

Values from the calculation:
Its crystal system is orthorhombic.

=====

[4]
Entry from Alexandria: an optimized crystal structure of K2ZrSi3H2O10 (GGA-PBE).

The structure in CIF format:
```
data_K2ZrSi3H2O10
_symmetry_space_group_name_H-M 'P 21 21 21'
_symmetry_Int_Tables_number 19
_cell_length_a 7.289
_cell_length_b 10.450
_cell_length_c 13.503
_cell_angle_alpha 90.00
_cell_angle_beta 90.00
_cell_angle_gamma 90.00
loop_
_symmetry_equiv_pos_as_xyz
'x,y,z'
'-x+1/2,-y,z+1/2'
'x+1/2,-y+1/2,-z'
'-x,y+1/2,-z+1/2'
loop_
_atom_site_label
_atom_site_type_symbol
_atom_site_fract_x
_atom_site_fract_y
_atom_site_fract_z
K1 K 0.133 0.223 0.372
K2 K 0.223 0.072 0.080
Zr1 Zr 0.240 0.552 0.292
Si1 Si 0.005 0.174 0.826
Si2 Si 0.083 0.863 0.333
Si3 Si 0.230 0.468 0.051
H1 H 0.043 0.157 0.621
H2 H 0.173 0.271 0.594
O1 O 0.001 0.943 0.240
O2 O 0.018 0.410 0.062
O3 O 0.039 0.326 0.813
O4 O 0.062 0.710 0.315
O5 O 0.089 0.611 0.772
O6 O 0.131 0.186 0.570
O7 O 0.131 0.653 0.577
O8 O 0.200 0.099 0.853
O9 O 0.228 0.487 0.439
O10 O 0.247 0.419 0.634
```

Values from the calculation:
Its crystal system is orthorhombic.

=====

[5]
Entry from Alexandria: an optimized crystal structure of K2SnH6O6 (GGA-PBE).

The structure in CIF format:
```
data_K2SnH6O6
_symmetry_space_group_name_H-M 'R -3'
_symmetry_Int_Tables_number 148
_symmetry_space_group_name_Hall '-R 3'
_cell_length_a 6.8797
_cell_length_b 6.8797
_cell_length_c 12.0302
_cell_angle_alpha 90.00
_cell_angle_beta 90.00
_cell_angle_gamma 120.00
loop_
_atom_site_label
_atom_site_type_symbol
_atom_site_fract_x
_atom_site_fract_y
_atom_site_fract_z
K1 K 0.0000 0.0000 0.1988
Sn1 Sn 0.0000 0.0000 0.5000
H1 H 0.0095 0.4268 0.3085
O1 O 0.0473 0.5659 0.2664
```

Values from the calculation:
Its crystal system is trigonal.

=====

[6]
Entry from Alexandria: an optimized crystal structure of K2TaH2O6 (GGA-PBE).

The structure in CIF format:
```
data_K2TaH2O6
_symmetry_space_group_name_H-M 'P -3 m 1'
_symmetry_Int_Tables_number 164
_symmetry_space_group_name_Hall '-P 3 2"'
_cell_length_a 5.2157
_cell_length_b 5.2157
_cell_length_c 6.0285
_cell_angle_alpha 90.00
_cell_angle_beta 90.00
_cell_angle_gamma 120.00
loop_
_atom_site_label
_atom_site_type_symbol
_atom_site_fract_x
_atom_site_fract_y
_atom_site_fract_z
K1 K 0.3333 0.6667 0.3565
Ta1 Ta 0.0000 0.0000 0.0000
H1 H 0.3333 0.6667 0.8127
O1 O 0.1786 0.3573 0.8045
```

Values from the calculation:
Its crystal system is trigonal.

=====

[7]
Entry from Alexandria: an optimized crystal structure of KTaHO2 (GGA-PBE).

The structure in CIF format:
```
data_KTaHO2
_symmetry_space_group_name_H-M 'P 4/m m m'
_symmetry_Int_Tables_number 123
_symmetry_space_group_name_Hall '-P 4 2'
_cell_length_a 4.041
_cell_length_b 4.041
_cell_length_c 3.940
_cell_angle_alpha 90.00
_cell_angle_beta 90.00
_cell_angle_gamma 90.00
loop_
_atom_site_label
_atom_site_type_symbol
_atom_site_fract_x
_atom_site_fract_y
_atom_site_fract_z
K1 K 0.000 0.000 0.000
Ta1 Ta 0.500 0.500 0.500
H1 H 0.500 0.500 0.000
O1 O 0.000 0.500 0.500
```

Values from the calculation:
Its crystal system is tetragonal.

=====

[8]
Entry from Alexandria: an optimized crystal structure of KTcHO2 (GGA-PBE).

The structure in CIF format:
```
data_KTcHO2
_symmetry_space_group_name_H-M 'P 4/m m m'
_symmetry_Int_Tables_number 123
_symmetry_space_group_name_Hall '-P 4 2'
_cell_length_a 3.905
_cell_length_b 3.905
_cell_length_c 3.936
_cell_angle_alpha 90.00
_cell_angle_beta 90.00
_cell_angle_gamma 90.00
loop_
_atom_site_label
_atom_site_type_symbol
_atom_site_fract_x
_atom_site_fract_y
_atom_site_fract_z
K1 K 0.000 0.000 0.000
Tc1 Tc 0.500 0.500 0.500
H1 H 0.500 0.500 0.000
O1 O 0.000 0.500 0.500
```

Values from the calculation:
Its crystal system is tetragonal.

=====

[9]
Entry from Alexandria: an optimized crystal structure of K2TcHO4 (GGA-PBE).

The structure in CIF format:
```
data_K2TcHO4
_symmetry_space_group_name_H-M 'C 1 2/c 1'
_symmetry_Int_Tables_number 15
_cell_length_a 7.036
_cell_length_b 10.403
_cell_length_c 8.431
_cell_angle_alpha 90.00
_cell_angle_beta 114.61
_cell_angle_gamma 90.00
loop_
_symmetry_equiv_pos_as_xyz
'x,y,z'
'-x,-y,-z'
'-x,y,-z+1/2'
'x,-y,z+1/2'
'x+1/2,y+1/2,z'
'-x+1/2,-y+1/2,-z'
'-x+1/2,y+1/2,-z+1/2'
'x+1/2,-y+1/2,z+1/2'
loop_
_atom_site_label
_atom_site_type_symbol
_atom_site_fract_x
_atom_site_fract_y
_atom_site_fract_z
K1 K 0.000 0.000 0.000
K2 K 0.250 0.250 0.000
Tc1 Tc 0.000 0.500 0.000
H1 H 0.250 0.250 0.500
O1 O 0.119 0.336 0.492
O2 O 0.250 0.050 0.833
```

Values from the calculation:
Its crystal system is monoclinic.

=====

Number 1: total energy -6.372 eV per atom, V 1405.8 Å³ per cell. Number 2: total energy -6.729 eV per atom, V 1095.6 Å³ per cell. Number 3: total energy -7.046 eV per atom, V 954.3 Å³ per cell. Number 4: total energy -7.150 eV per atom, V 1028.5 Å³ per cell. Number 5: total energy -5.098 eV per atom, V 493.1 Å³ per cell. Number 6: total energy -5.841 eV per atom, V 142.0 Å³ per cell. Number 7: total energy -6.930 eV per atom, V 64.3 Å³ per cell. Number 8: total energy -6.046 eV per atom, V 60.0 Å³ per cell. Number 9: total energy -5.568 eV per atom, V 561.1 Å³ per cell.